Here is a geometry-optimized HgPd2 structure from OQMD via LeMat-Bulk. Energies are from PBE.

Cell: 3.0408 3.0408 10.9903 Å, 90.00 90.00 90.00°
Last column: nearest neighbours and their distance in Å.
Space group I4/mmm (No. 139)
Inequivalent atoms, fractional coordinates:
Hg (0.0000, 0.0000, 0.0000) (multiplicity 2)  8 Pd 2.85, 4 Hg 3.04
Pd (0.0000, 0.0000, 0.3301) (multiplicity 4)  8 Pd 2.78-3.04, 4 Hg 2.85

Summary:
- energy relative to the elements (meV per atom) = -122